[1]
Computed, not measured: crystalline BaCa2SnH at its relaxed geometry at the GGA-PBE level of DFT.

Output
The calculation puts the spin magnetization at 0.00 μB per atom. The total energy is -3.10 eV per atom.

```
data_BaCa2SnH
_chemical_formula_sum 'Ba1 Ca2 Sn1 H1'
_cell_length_a 5.1992
_cell_length_b 5.1992
_cell_length_c 5.1928
_cell_angle_alpha 90.00
_cell_angle_beta 90.00
_cell_angle_gamma 90.00
_symmetry_space_group_name_H-M 'P 4/m m m'
_symmetry_Int_Tables_number 123
_symmetry_space_group_name_Hall '-P 4 2'
loop_
_atom_site_label
_atom_site_type_symbol
_atom_site_fract_x
_atom_site_fract_y
_atom_site_fract_z
Ba1 Ba 0.0000 0.0000 0.0000
Ca1 Ca 0.0000 0.5000 0.5000
Sn1 Sn 0.5000 0.5000 0.0000
H1 H 0.0000 0.0000 0.5000
```

[2]
Computed, not measured: crystalline PaAgTe5Pb2 at its relaxed geometry at the GGA-PBE level of DFT.

Output
The calculation puts the spin magnetization at 0.00 μB per atom. The total energy is -4.43 eV per atom.

```
data_PaAgTe5Pb2
_chemical_formula_sum 'Pa4 Ag4 Te20 Pb8'
_cell_length_a 4.4605
_cell_length_b 19.4264
_cell_length_c 14.6433
_cell_angle_alpha 90.00
_cell_angle_beta 90.00
_cell_angle_gamma 90.00
_symmetry_space_group_name_H-M 'C m c 21'
_symmetry_Int_Tables_number 36
loop_
_symmetry_equiv_pos_as_xyz
'x,y,z'
'-x,-y,z+1/2'
'-x,y,z'
'x,-y,z+1/2'
'x+1/2,y+1/2,z'
'-x+1/2,-y+1/2,z+1/2'
'-x+1/2,y+1/2,z'
'x+1/2,-y+1/2,z+1/2'
loop_
_atom_site_label
_atom_site_type_symbol
_atom_site_fract_x
_atom_site_fract_y
_atom_site_fract_z
Pa1 Pa 0.0000 0.2126 0.0000
Ag1 Ag 0.0000 0.4183 0.4215
Te1 Te 0.0000 0.0598 0.0341
Te2 Te 0.0000 0.2710 0.6422
Te3 Te 0.0000 0.2818 0.3619
Te4 Te 0.0000 0.3661 0.9660
Te5 Te 0.0000 0.4841 0.2515
Pb1 Pb 0.0000 0.0932 0.2490
Pb2 Pb 0.0000 0.1051 0.6103
```

[3]
Computed, not measured: crystalline Sc6Fe2Pt at its relaxed geometry at the GGA-PBE level of DFT.

Output
The calculation puts the spin magnetization at 0.00 μB per atom. The formation energy comes out at -0.394 eV/atom. The total energy is -7.17 eV per atom.

```
data_Sc6Fe2Pt
_chemical_formula_sum 'Sc24 Fe8 Pt4'
_cell_length_a 8.5935
_cell_length_b 8.8304
_cell_length_c 9.0310
_cell_angle_alpha 90.00
_cell_angle_beta 90.00
_cell_angle_gamma 90.00
_symmetry_space_group_name_H-M 'I m m m'
_symmetry_Int_Tables_number 71
_symmetry_space_group_name_Hall '-I 2 2'
loop_
_atom_site_label
_atom_site_type_symbol
_atom_site_fract_x
_atom_site_fract_y
_atom_site_fract_z
Sc1 Sc 0.0000 0.2057 0.1817
Sc2 Sc 0.1845 0.2254 0.5000
Sc3 Sc 0.2016 0.5000 0.2589
Fe1 Fe 0.0000 0.0000 0.3837
Fe2 Fe 0.1285 0.0000 0.0000
Pt1 Pt 0.0000 0.5000 0.0000
Pt2 Pt 0.0000 0.5000 0.5000
```

[4]
Computed, not measured: crystalline As2WAu at its relaxed geometry at the GGA-PBE level of DFT.

Output
The calculation puts the spin magnetization at 0.00 μB per atom. The formation energy comes out at 0.378 eV/atom. The energy above the most stable polymorph in this dataset is 198 meV per atom. The total energy is -6.00 eV per atom.

```
data_As2WAu
_chemical_formula_sum 'As4 W2 Au2'
_cell_length_a 3.5909
_cell_length_b 4.3892
_cell_length_c 9.9329
_cell_angle_alpha 90.00
_cell_angle_beta 90.00
_cell_angle_gamma 90.00
_symmetry_space_group_name_H-M 'C m m 2'
_symmetry_Int_Tables_number 35
loop_
_symmetry_equiv_pos_as_xyz
'x,y,z'
'-x,-y,z'
'-x,y,z'
'x,-y,z'
'x+1/2,y+1/2,z'
'-x+1/2,-y+1/2,z'
'-x+1/2,y+1/2,z'
'x+1/2,-y+1/2,z'
loop_
_atom_site_label
_atom_site_type_symbol
_atom_site_fract_x
_atom_site_fract_y
_atom_site_fract_z
As1 As 0.0000 0.0000 0.0000
As2 As 0.0000 0.5000 0.3560
W1 W 0.0000 0.0000 0.5504
Au1 Au 0.0000 0.5000 0.7728
```